A plane-wave DFT calculation with PBE-GGA was carried out for Tc2GeAs after structural relaxation.

Unit cell a=5.5587 b=5.5587 c=6.8266 alpha=65.98 beta=65.98 gamma=90.00
Last column: nearest neighbours and their distance in Å.
Sites, in units of the cell vectors:
Tc  0.6305  0.1250  0.2500  2 As 2.39, 2 Ge 2.43
Ge  0.5000  0.5000  0.0000  4 Tc 2.43
As  0.7500  0.2500  0.5000  4 Tc 2.39
Tc  0.3750  0.3695  0.7500  2 As 2.39, 2 Ge 2.43
Ge  0.2500  0.7500  0.5000  4 Tc 2.43
As  0.0000  0.0000  0.0000  4 Tc 2.39
Tc  0.8750  0.8805  0.7500  2 As 2.39, 2 Ge 2.43
Tc  0.1195  0.6250  0.2500  2 As 2.39, 2 Ge 2.43

Properties
The magnetization comes out at 1.0 μB/f.u. The volume is 86.2 Å³/f.u.

A plane-wave DFT calculation with PBE-GGA was carried out for TcGeAs after structural relaxation.

Unit cell a=5.4088 b=3.1283 c=11.8083 alpha=90.00 beta=90.43 gamma=90.00
Last column: nearest neighbours and their distance in Å.
Sites, in units of the cell vectors:
Tc  0.3827  0.0000  0.8962  4 As 2.55-2.57, 3 Ge 2.59-2.60
As  0.6726  0.0000  0.5048  1 Ge 2.45, 3 Tc 2.55
Tc  0.3827  0.5000  0.3962  4 As 2.55-2.57, 3 Ge 2.59-2.60
As  0.6726  0.5000  0.0048  1 Ge 2.45, 3 Tc 2.55
Ge  0.1617  0.5000  0.5907  1 As 2.48, 3 Tc 2.60-2.61
As  0.5019  0.0000  0.2329  1 Ge 2.48, 4 Tc 2.53-2.57
Tc  0.8640  0.0000  0.7029  3 As 2.53-2.55, 4 Ge 2.59-2.61
Ge  0.0061  0.5000  0.8657  1 As 2.45, 4 Tc 2.59
Tc  0.8640  0.5000  0.2029  3 As 2.53-2.55, 4 Ge 2.59-2.61
Ge  0.0061  0.0000  0.3657  1 As 2.45, 4 Tc 2.59
Ge  0.1617  0.0000  0.0907  1 As 2.48, 3 Tc 2.60-2.61
As  0.5019  0.5000  0.7329  1 Ge 2.48, 4 Tc 2.53-2.57

Properties
The magnetization comes out at 0.0 μB/f.u. The volume is 49.9 Å³/f.u.

A plane-wave DFT calculation with PBE-GGA was carried out for TcGeAs after structural relaxation.

Unit cell a=7.7772 b=3.2147 c=9.1715 alpha=90.00 beta=120.78 gamma=90.00
Last column: nearest neighbours and their distance in Å.
Sites, in units of the cell vectors:
Ge  0.1016  0.0000  0.8959  5 Tc 2.66-2.73, 2 Ge 2.81
Tc  0.7894  0.0000  0.3398  3 As 2.49-2.56, 5 Ge 2.66-2.73
Tc  0.2106  0.5000  0.1602  3 As 2.49-2.56, 5 Ge 2.66-2.73
Ge  0.8984  0.0000  0.1041  5 Tc 2.66-2.73, 2 Ge 2.81
As  0.5290  0.0000  0.6422  1 As 2.41, 3 Tc 2.49-2.56
Ge  0.8984  0.5000  0.6041  5 Tc 2.66-2.73, 2 Ge 2.81
As  0.4710  0.5000  0.8578  1 As 2.41, 3 Tc 2.49-2.56
Tc  0.2106  0.0000  0.6602  3 As 2.49-2.56, 5 Ge 2.66-2.73
Tc  0.7894  0.5000  0.8398  3 As 2.49-2.56, 5 Ge 2.66-2.73
As  0.5290  0.5000  0.1422  1 As 2.41, 3 Tc 2.49-2.56
As  0.4710  0.0000  0.3578  1 As 2.41, 3 Tc 2.49-2.56
Ge  0.1016  0.5000  0.3959  5 Tc 2.66-2.73, 2 Ge 2.81

Properties
The magnetization comes out at 0.0 μB/f.u. The volume is 49.2 Å³/f.u.

A plane-wave DFT calculation with PBE-GGA was carried out for Tc3GeAs after structural relaxation.

Unit cell a=4.5579 b=4.5579 c=4.5579 alpha=90.00 beta=90.00 gamma=90.00
Last column: nearest neighbours and their distance in Å.
Sites, in units of the cell vectors:
Ge  0.5000  0.5000  0.5000  12 Tc 3.22
Tc  0.5000  0.0000  0.0000  2 As 2.28
Tc  0.0000  0.0000  0.5000  2 As 2.28
As  0.0000  0.0000  0.0000  6 Tc 2.28
Tc  0.0000  0.5000  0.0000  2 As 2.28

Properties
The magnetization comes out at 2.4 μB/f.u. The volume is 94.7 Å³/f.u.

Calculated formation energy: 692, -189, -234, 1121 (meV per atom)
ΔE to the lowest computed polymorph: 0.775, 0.062, 0.017, 0.000 (eV per atom)